The following is a SCAN calculation of a PBEsol-optimized structure of RbNa2I, from Alexandria via LeMat-Bulk.

Calculated values
- ΔE_f (raw): -0.29 eV/atom
- Mass density: 2.506 Mg/m³
- Total energy: -67.06 eV/cell
- Density of states at the Fermi level: 0.601 states/eV/atom
- Crystal system: cubic

a b c (Å): 6.232 6.232 6.232
angles (deg): 60.00 60.00 60.00
Positions (direct):
I  0.500  0.500  0.500
Na  0.250  0.250  0.250
Na  0.750  0.750  0.750
Rb  0.000  0.000  0.000

---

The following is a SCAN calculation of a PBEsol-optimized structure of ZrW4, from Alexandria via LeMat-Bulk.

Calculated values
- Mass density: 13.639 Mg/m³
- Total energy: -297.77 eV/cell
- Density of states at the Fermi level: 0.998 states/eV/atom
- Crystal system: cubic

a b c (Å): 5.075 5.075 5.075
angles (deg): 109.47 109.47 109.47
Positions (direct):
W  0.000  0.000  0.500
W  0.000  0.500  0.000
W  0.500  0.000  0.000
W  0.500  0.500  0.500
Zr  0.000  0.000  0.000

---

The following is a SCAN calculation of a PBEsol-optimized structure of MnSb2TeW, from Alexandria via LeMat-Bulk.

Calculated values
- ΔE_f (raw): 1.29 eV/atom
- Mass density: 8.598 Mg/m³
- Total energy: -193.24 eV/cell
- Density of states at the Fermi level: 0.575 states/eV/atom
- Crystal system: tetragonal

a b c (Å): 4.797 4.797 5.118
angles (deg): 90.00 90.00 90.00
Positions (direct):
Sb  0.000  0.500  0.000
Sb  0.500  0.000  0.000
Te  0.000  0.000  0.500
W  0.500  0.500  0.500
Mn  0.000  0.000  0.000

---

The following is a SCAN calculation of a PBEsol-optimized structure of Be2WSe, from Alexandria via LeMat-Bulk.

Calculated values
- ΔE_f (raw): 0.44 eV/atom
- Mass density: 8.808 Mg/m³
- Total energy: -96.71 eV/cell
- Density of states at the Fermi level: 0.207 states/eV/atom
- Crystal system: monoclinic

a b c (Å): 2.944 4.154 4.581
angles (deg): 93.36 108.75 90.00
Positions (direct):
Be  0.019  0.020  0.038
Be  0.256  0.777  0.512
Se  0.475  0.447  0.950
W  0.750  0.256  0.501

---

The following is a SCAN calculation of a PBEsol-optimized structure of Mn3Cr, from Alexandria via LeMat-Bulk.

Calculated values
- Mass density: 8.512 Mg/m³
- Total energy: -72.68 eV/cell
- Density of states at the Fermi level: 0.877 states/eV/atom
- Crystal system: monoclinic

a b c (Å): 2.415 3.845 4.657
angles (deg): 90.00 102.02 90.00
Positions (direct):
Cr  0.000  0.000  0.000
Mn  0.189  0.500  0.750
Mn  0.500  0.000  0.500
Mn  0.811  0.500  0.250

---

The following is a SCAN calculation of a PBEsol-optimized structure of Al7Ag, from Alexandria via LeMat-Bulk.

Calculated values
- Mass density: 3.785 Mg/m³
- Total energy: -85.59 eV/cell
- Density of states at the Fermi level: 0.370 states/eV/atom
- Crystal system: tetragonal

a b c (Å): 4.062 4.062 8.397
angles (deg): 104.00 104.00 90.00
Positions (direct):
Al  0.126  0.626  0.251
Al  0.252  0.252  0.504
Al  0.374  0.874  0.749
Al  0.500  0.500  0.000
Al  0.626  0.126  0.251
Al  0.748  0.748  0.496
Al  0.874  0.374  0.749
Ag  0.000  0.000  0.000